First-principles (PBE) data for MgZrTc2 after structural relaxation, as listed in Alexandria.

* crystal system: monoclinic
* formation energy from the elements: 0.103 eV/atom
* SG: P2/m
* N(E_F): 3.27 states/eV per cell

Lattice parameters (Å, degrees): 4.4653 2.7790 5.5397 81.18 90.00 90.00
With the nearest neighbours (Å) after each atom.
Sites, in units of the cell vectors:
Mg 0.5000 0.7500 0.7500  4 Tc 2.76, 2 Mg 2.78, 2 Zr 2.90
Tc 0.0000 0.0346 0.9850  3 Tc 2.69-2.78, 2 Mg 2.76, 2 Zr 2.79
Tc 0.0000 0.4654 0.5150  3 Tc 2.69-2.78, 2 Mg 2.76, 2 Zr 2.79
Zr 0.5000 0.2500 0.2500  2 Zr 2.78, 4 Tc 2.79, 2 Mg 2.90

First-principles (PBE) data for SrSc2Mn after structural relaxation, as listed in Alexandria.

* crystal system: cubic
* formation energy from the elements: 0.597 eV/atom
* SG: Fd-3m
* N(E_F): 6.09 states/eV per cell

Lattice parameters (Å, degrees): 7.1626 7.1626 7.1668 60.02 60.02 90.00
With the nearest neighbours (Å) after each atom.
Sites, in units of the cell vectors:
Sc 0.3750 0.1250 0.2500  2 Mn 2.19
Sc 0.3750 0.6250 0.2500  2 Mn 2.19
Sc 0.3750 0.6250 0.7500  2 Mn 2.19
Sc 0.8750 0.6250 0.7500  2 Mn 2.19
Sr 0.0000 0.0000 0.0000  12 Sc 4.20, 4 Mn 4.39, 4 Sr 4.39
Sr 0.7500 0.2500 0.5000  12 Sc 4.20, 4 Mn 4.39, 4 Sr 4.39
Mn 0.5000 0.5000 0.0000  4 Sc 2.19
Mn 0.2500 0.7500 0.5000  4 Sc 2.19

First-principles (PBE) data for Ce5Al3Cd3 after structural relaxation, as listed in Alexandria.

* crystal system: hexagonal
* formation energy from the elements: 0.083 eV/atom
* SG: P-62m
* N(E_F): 26.97 states/eV per cell

Lattice parameters (Å, degrees): 3.0260 10.1821 10.1821 120.00 90.00 90.00
With the nearest neighbours (Å) after each atom.
Sites, in units of the cell vectors:
Ce 0.5000 0.6667 0.3333  5 Ce 3.03-3.33
Ce 0.5000 0.3333 0.6667  5 Ce 3.03-3.33
Ce 0.5000 0.3463 0.0000  4 Ce 3.03-3.33, 2 Al 3.07, 2 Cd 3.24
Ce 0.5000 0.6537 0.6537  4 Ce 3.03-3.33, 2 Al 3.07, 2 Cd 3.24
Ce 0.5000 0.0000 0.3463  4 Ce 3.03-3.33, 2 Al 3.07, 2 Cd 3.24
Al 0.5000 0.8539 0.0000  2 Al 2.58, 2 Cd 2.75
Al 0.5000 0.1461 0.1461  2 Al 2.58, 2 Cd 2.75
Al 0.5000 0.0000 0.8539  2 Al 2.58, 2 Cd 2.75
Cd 0.0000 0.6282 0.0000  2 Al 2.75, 2 Cd 3.03
Cd 0.0000 0.0000 0.6282  2 Al 2.75, 2 Cd 3.03
Cd 0.0000 0.3718 0.3718  2 Al 2.75, 2 Cd 3.03

First-principles (PBE) data for LiNd6Al after structural relaxation, as listed in Alexandria.

* crystal system: monoclinic
* formation energy from the elements: -0.070 eV/atom
* SG: C2/m
* N(E_F): 8.83 states/eV per cell

Lattice parameters (Å, degrees): 5.2355 5.2355 9.7410 74.41 74.46 90.00
With the nearest neighbours (Å) after each atom.
Sites, in units of the cell vectors:
Li 0.0000 0.0000 0.0000  8 Nd 3.25
Nd 0.7482 0.7485 0.5028  12 Nd 3.66-3.71
Nd 0.6067 0.1070 0.7861  2 Li 3.25, 2 Al 3.25
Nd 0.1068 0.6069 0.7861  2 Al 3.25, 2 Li 3.25
Nd 0.3933 0.8930 0.2139  2 Li 3.25, 2 Al 3.25
Nd 0.2518 0.2515 0.4972  12 Nd 3.66-3.71
Nd 0.8932 0.3931 0.2139  2 Al 3.25, 2 Li 3.25
Al 0.5000 0.5000 0.0000  8 Nd 3.25

First-principles (PBE) data for KY2Al after structural relaxation, as listed in Alexandria.

* crystal system: tetragonal
* formation energy from the elements: 0.796 eV/atom
* SG: I4_1/amd
* N(E_F): 5.95 states/eV per cell

Lattice parameters (Å, degrees): 6.4303 6.4303 10.8165 72.71 72.71 90.00
With the nearest neighbours (Å) after each atom.
Sites, in units of the cell vectors:
Y 0.3744 0.1250 0.2500  2 Al 2.93, 2 Y 3.22
Y 0.3756 0.6250 0.2500  2 Al 2.93, 2 Y 3.22
Y 0.3750 0.6256 0.7500  2 Al 2.93, 2 Y 3.22
Y 0.8750 0.6244 0.7500  2 Al 2.93, 2 Y 3.22
K 0.0000 0.0000 0.0000  8 Y 4.35-4.36, 4 Al 4.55
K 0.7500 0.2500 0.5000  8 Y 4.35-4.36, 4 Al 4.55
Al 0.5000 0.5000 0.0000  4 Y 2.93
Al 0.2500 0.7500 0.5000  4 Y 2.93

First-principles (PBE) data for SiPtSe2 after structural relaxation, as listed in Alexandria.

* crystal system: orthorhombic
* ΔE_f (raw): 3.94 kJ/mol of atoms
* SG: Imm2
* N(E_F): 1.85 states/eV per cell

Lattice parameters (Å, degrees): 7.8788 7.8788 7.8788 155.45 154.07 36.01
With the nearest neighbours (Å) after each atom.
Sites, in units of the cell vectors:
Pt 0.3023 0.8023 0.5000  4 Se 2.56, 2 Si 2.66
Se 0.0086 0.0086 0.0000  4 Si 2.64
Se 0.7494 0.2494 0.5000  4 Pt 2.56
Si 0.4398 0.4398 0.0000  4 Se 2.64, 2 Pt 2.66

First-principles (PBE) data for LaCd2Hg2 after structural relaxation, as listed in Alexandria.

* crystal system: tetragonal
* formation energy from the elements: -0.154 eV/atom
* SG: P4/mbm
* N(E_F): 8.46 states/eV per cell

Lattice parameters (Å, degrees): 8.6735 8.6735 3.4077 90.00 90.00 90.00
With the nearest neighbours (Å) after each atom.
Sites, in units of the cell vectors:
Cd 0.3791 0.8791 0.0000  1 Cd 2.97, 6 Hg 3.00-3.14
Cd 0.8791 0.6209 0.0000  1 Cd 2.97, 6 Hg 3.00-3.14
Cd 0.6209 0.1209 0.0000  1 Cd 2.97, 6 Hg 3.00-3.14
Cd 0.1209 0.3791 0.0000  1 Cd 2.97, 6 Hg 3.00-3.14
Hg 0.1776 0.6776 0.5000  6 Cd 3.00-3.14
Hg 0.6776 0.8224 0.5000  6 Cd 3.00-3.14
Hg 0.8224 0.3224 0.5000  6 Cd 3.00-3.14
Hg 0.3224 0.1776 0.5000  6 Cd 3.00-3.14
La 0.0000 0.0000 0.0000  2 La 3.41, 4 Cd 3.45, 8 Hg 3.62
La 0.5000 0.5000 0.0000  2 La 3.41, 4 Cd 3.45, 8 Hg 3.62

First-principles (PBE) data for Ag2OsSe after structural relaxation, as listed in Alexandria.

* crystal system: orthorhombic
* ΔE_f (raw): 47.75 kJ/mol of atoms
* SG: Imm2
* N(E_F): 1.67 states/eV per cell

Lattice parameters (Å, degrees): 6.3820 6.3820 6.3820 152.91 138.00 50.70
With the nearest neighbours (Å) after each atom.
Sites, in units of the cell vectors:
Ag 0.0236 0.0236 0.0000  4 Os 2.79, 4 Ag 2.97-2.99
Ag 0.6873 0.1873 0.5000  2 Os 2.87, 4 Ag 2.97-2.99, 4 Se 3.10
Os 0.4751 0.4751 0.0000  2 Se 2.38
Se 0.3141 0.8141 0.5000  2 Os 2.38